Record 1
# In2SnAu, relaxed, DFT PBE
data_In2SnAu
_chemical_formula_sum 'In2 Sn1 Au1'
_cell_length_a 3.593
_cell_length_b 3.593
_cell_length_c 7.577
_cell_angle_alpha 90.00
_cell_angle_beta 90.00
_cell_angle_gamma 90.00
_space_group_name_H-M_alt 'P 1'
_space_group_IT_number 1
loop_
_space_group_symop_operation_xyz
'x,y,z'
loop_
_atom_site_label
_atom_site_fract_x
_atom_site_fract_y
_atom_site_fract_z
Au1 0.500 0.500 0.000
Sn1 0.500 0.500 0.500
In1 0.000 0.000 0.785
In2 0.000 0.000 0.215
# Fermi-level density of states   1.1 states/eV/cell
# Electronic total energy   -3.23 eV/atom
# SG   P4/mmm
# ΔH_f (0 K)   -0.038 eV per atom

***

Record 2
# La6Bi2Os, relaxed, DFT PBE
data_La6Bi2Os
_chemical_formula_sum 'La12 Bi4 Os2'
_cell_length_a 7.363
_cell_length_b 7.363
_cell_length_c 13.866
_cell_angle_alpha 90.00
_cell_angle_beta 90.00
_cell_angle_gamma 90.00
_space_group_name_H-M_alt 'P 1'
_space_group_IT_number 1
loop_
_space_group_symop_operation_xyz
'x,y,z'
loop_
_atom_site_label
_atom_site_fract_x
_atom_site_fract_y
_atom_site_fract_z
La1 0.311 0.311 0.352
La2 0.689 0.689 0.352
La3 0.189 0.811 0.852
La4 0.811 0.189 0.852
La5 0.189 0.811 0.148
La6 0.811 0.189 0.148
La7 0.311 0.311 0.648
La8 0.689 0.689 0.648
La9 0.273 0.273 0.000
La10 0.727 0.727 0.000
La11 0.227 0.773 0.500
La12 0.773 0.227 0.500
Bi1 0.000 0.000 0.336
Bi2 0.500 0.500 0.836
Bi3 0.500 0.500 0.164
Bi4 0.000 0.000 0.664
Os1 0.000 0.000 0.000
Os2 0.500 0.500 0.500
# Fermi-level density of states   27.1 states/eV/cell
# Electronic total energy   -5.68 eV/atom
# SG   P4_2/mnm
# ΔH_f (0 K)   -0.288 eV per atom

***

Record 3
# Cs3LiBe, relaxed, DFT PBE
data_Cs3LiBe
_chemical_formula_sum 'Cs3 Li1 Be1'
_cell_length_a 7.119
_cell_length_b 7.119
_cell_length_c 7.119
_cell_angle_alpha 90.00
_cell_angle_beta 90.00
_cell_angle_gamma 90.00
_space_group_name_H-M_alt 'P 1'
_space_group_IT_number 1
loop_
_space_group_symop_operation_xyz
'x,y,z'
loop_
_atom_site_label
_atom_site_fract_x
_atom_site_fract_y
_atom_site_fract_z
Cs1 0.000 0.500 0.000
Cs2 0.000 0.000 0.500
Cs3 0.500 0.000 0.000
Be1 0.000 0.000 0.000
Li1 0.500 0.500 0.500
# Fermi-level density of states   7.7 states/eV/cell
# Electronic total energy   -1.02 eV/atom
# SG   Pm-3m
# ΔH_f (0 K)   0.619 eV per atom
# Polymorph energy (0 for the lowest one)   0 meV/atom

***

Record 4
# NbV2Si6, relaxed, DFT PBE
data_NbV2Si6
_chemical_formula_sum 'Nb1 V2 Si6'
_cell_length_a 4.683
_cell_length_b 4.653
_cell_length_c 6.457
_cell_angle_alpha 90.00
_cell_angle_beta 90.00
_cell_angle_gamma 120.22
_space_group_name_H-M_alt 'P 1'
_space_group_IT_number 1
loop_
_space_group_symop_operation_xyz
'x,y,z'
loop_
_atom_site_label
_atom_site_fract_x
_atom_site_fract_y
_atom_site_fract_z
Nb1 0.500 0.000 0.000
V1 0.000 0.500 0.668
V2 0.500 0.500 0.332
Si1 0.838 0.675 0.000
Si2 0.322 0.167 0.660
Si3 0.845 0.167 0.340
Si4 0.162 0.325 0.000
Si5 0.678 0.833 0.660
Si6 0.155 0.833 0.340
# Fermi-level density of states   4.8 states/eV/cell
# Electronic total energy   -7.25 eV/atom
# SG   C222
# Formation energy without anion corrections   -422 kJ/mol of formula units

***

Record 5
# AlSi3F, relaxed, DFT PBE
data_AlSi3F
_chemical_formula_sum 'Al1 Si3 F1'
_cell_length_a 4.743
_cell_length_b 4.743
_cell_length_c 4.743
_cell_angle_alpha 90.00
_cell_angle_beta 90.00
_cell_angle_gamma 90.00
_space_group_name_H-M_alt 'P 1'
_space_group_IT_number 1
loop_
_space_group_symop_operation_xyz
'x,y,z'
loop_
_atom_site_label
_atom_site_fract_x
_atom_site_fract_y
_atom_site_fract_z
Si1 0.000 0.500 0.000
Si2 0.000 0.000 0.500
Si3 0.500 0.000 0.000
Al1 0.000 0.000 0.000
F1 0.500 0.500 0.500
# Fermi-level density of states   4.1 states/eV/cell
# Electronic total energy   -3.69 eV/atom
# SG   Pm-3m
# Formation energy without anion corrections   331 kJ/mol of formula units
# Polymorph energy (0 for the lowest one)   274 meV/atom

***

Record 6
# SiAu5, relaxed, DFT PBE
data_SiAu5
_chemical_formula_sum 'Si1 Au5'
_cell_length_a 5.489
_cell_length_b 5.489
_cell_length_c 5.489
_cell_angle_alpha 60.00
_cell_angle_beta 60.00
_cell_angle_gamma 60.00
_space_group_name_H-M_alt 'P 1'
_space_group_IT_number 1
loop_
_space_group_symop_operation_xyz
'x,y,z'
loop_
_atom_site_label
_atom_site_fract_x
_atom_site_fract_y
_atom_site_fract_z
Si1 0.000 0.000 0.000
Au1 0.750 0.750 0.750
Au2 0.875 0.375 0.375
Au3 0.375 0.875 0.375
Au4 0.375 0.375 0.875
Au5 0.375 0.375 0.375
# Fermi-level density of states   2.3 states/eV/cell
# Electronic total energy   -3.29 eV/atom
# SG   F-43m
# Formation energy without anion corrections   202 kJ/mol of formula units

***

Among the records above, which one has the highest Fermi-level density of states?
La6Bi2Os

***

Among the records above, which one has the lowest Fermi-level density of states?
In2SnAu